[1]
Compound: BeNi3
Source: the Alexandria database
Functional: meta-GGA SCAN
Structure: single point on PBEsol structure

Total DFT energy (no corrections), eV for the cell shown: -321.87
DFT formation energy, eV/atom: -0.193
Symmetry: Pmmn, No. 59
D(E_F), states/eV/f.u.: 2.4

Cell: 4.112 4.828 11.714 Å, 90.00 90.00 90.00°
Site moments in Bohr magnetons follow the coordinates.
Fractional positions:
Be (0.989, 0.000, 0.500)  -0.03
Be (0.670, 0.000, 0.168)  -0.02
Be (0.670, 0.000, 0.832)  -0.02
Be (0.011, 0.500, 0.000)  -0.03
Be (0.330, 0.500, 0.668)  -0.02
Be (0.330, 0.500, 0.332)  -0.02
Ni (0.169, 0.751, 0.166)  0.52
Ni (0.169, 0.751, 0.834)  0.52
Ni (0.485, 0.750, 0.500)  0.52
Ni (0.515, 0.750, 0.000)  0.52
Ni (0.831, 0.749, 0.666)  0.52
Ni (0.831, 0.749, 0.334)  0.52
Ni (0.008, 0.000, 0.000)  0.71
Ni (0.330, 0.000, 0.667)  0.71
Ni (0.330, 0.000, 0.333)  0.71
Ni (0.169, 0.249, 0.166)  0.52
Ni (0.169, 0.249, 0.834)  0.52
Ni (0.485, 0.250, 0.500)  0.52
Ni (0.515, 0.250, 0.000)  0.52
Ni (0.831, 0.251, 0.666)  0.52
Ni (0.831, 0.251, 0.334)  0.52
Ni (0.992, 0.500, 0.500)  0.71
Ni (0.670, 0.500, 0.167)  0.71
Ni (0.670, 0.500, 0.833)  0.71

***

[2]
Compound: Be3Ni
Source: the Alexandria database
Functional: meta-GGA SCAN
Structure: single point on PBEsol structure

Total DFT energy (no corrections), eV for the cell shown: -30.60
DFT formation energy, eV/atom: -0.343
Symmetry: Immm, No. 71
Energy above the most stable polymorph in this dataset, eV/atom: 0.000
D(E_F), states/eV/f.u.: 0.8

Cell: 2.891 3.333 4.080 Å, 114.11 110.75 90.00°
Fractional positions:
Ni (0.000, 0.500, 0.000)
Be (0.750, 0.750, 0.501)
Be (0.250, 0.250, 0.499)
Be (0.500, 0.000, 0.000)

***

[3]
Compound: Be3Ni
Source: the Alexandria database
Functional: meta-GGA SCAN
Structure: single point on PBEsol structure

Total DFT energy (no corrections), eV for the cell shown: -61.20
DFT formation energy, eV/atom: -0.341
Symmetry: Pmmn, No. 59
Energy above the most stable polymorph in this dataset, eV/atom: 0.002
D(E_F), states/eV/f.u.: 1.1

Cell: 3.654 4.038 4.484 Å, 90.00 90.00 90.00°
Fractional positions:
Ni (0.000, 0.346, 0.000)
Ni (0.500, 0.654, 0.500)
Be (0.500, 0.661, 0.000)
Be (0.000, 0.339, 0.500)
Be (0.000, 0.843, 0.753)
Be (0.000, 0.843, 0.247)
Be (0.500, 0.157, 0.253)
Be (0.500, 0.157, 0.747)

***

[4]
Compound: Be3Ni
Source: the Alexandria database
Functional: meta-GGA SCAN
Structure: single point on PBEsol structure

Total DFT energy (no corrections), eV for the cell shown: -61.10
DFT formation energy, eV/atom: -0.329
Symmetry: Cmcm, No. 63
Energy above the most stable polymorph in this dataset, eV/atom: 0.014
D(E_F), states/eV/f.u.: 1.1

Cell: 3.628 4.475 4.475 Å, 114.62 90.00 90.00°
Fractional positions:
Ni (0.750, 0.642, 0.358)
Ni (0.250, 0.358, 0.642)
Be (0.750, 0.166, 0.834)
Be (0.250, 0.834, 0.166)
Be (0.750, 0.669, 0.863)
Be (0.250, 0.331, 0.137)
Be (0.250, 0.863, 0.669)
Be (0.750, 0.137, 0.331)

***

[5]
Compound: BeNi3
Source: the Alexandria database
Functional: meta-GGA SCAN
Structure: single point on PBEsol structure

Total DFT energy (no corrections), eV for the cell shown: -53.67
DFT formation energy, eV/atom: -0.199
Symmetry: Pm-3m, No. 221
D(E_F), states/eV/f.u.: 2.3

Cell: 3.384 3.384 3.384 Å, 90.00 90.00 90.00°
Site moments in Bohr magnetons follow the coordinates.
Fractional positions:
Ni (0.000, 0.500, 0.500)  0.53
Ni (0.500, 0.000, 0.500)  0.53
Ni (0.500, 0.500, 0.000)  0.53
Be (0.000, 0.000, 0.000)  -0.02

***

[6]
Compound: Be3Ni
Source: the Alexandria database
Functional: meta-GGA SCAN
Structure: single point on PBEsol structure

Total DFT energy (no corrections), eV for the cell shown: -29.38
DFT formation energy, eV/atom: -0.037
Symmetry: R-3m, No. 166
Energy above the most stable polymorph in this dataset, eV/atom: 0.305
D(E_F), states/eV/f.u.: 1.5

Cell: 2.349 2.349 7.461 Å, 80.94 80.94 60.00°
Site moments in Bohr magnetons follow the coordinates.
Fractional positions:
Ni (0.000, 0.000, 0.000)  0.33
Be (0.749, 0.749, 0.752)  0.00
Be (0.500, 0.500, 0.500)  0.04
Be (0.251, 0.251, 0.248)  0.00

***

[7]
Compound: Be2TcNiO
Source: the Alexandria database
Functional: meta-GGA SCAN
Structure: single point on PBEsol structure

Total DFT energy (no corrections), eV for the cell shown: -67.84
Formation energy (no corrections), eV per formula unit: -1.66
Symmetry: P4/mmm, No. 123
D(E_F), states/eV/f.u.: 2.9

Cell: 3.497 3.497 3.948 Å, 90.00 90.00 90.00°
Fractional positions:
Ni (0.500, 0.500, 0.500)
Tc (0.000, 0.000, 0.500)
O (0.000, 0.000, 0.000)
Be (0.000, 0.500, 0.000)
Be (0.500, 0.000, 0.000)

***

[8]
Compound: BeNiTeO2
Source: the Alexandria database
Functional: meta-GGA SCAN
Structure: single point on PBEsol structure

Total DFT energy (no corrections), eV for the cell shown: -70.49
Formation energy (no corrections), eV per formula unit: -0.25
Symmetry: P4/mmm, No. 123
D(E_F), states/eV/f.u.: 3.2

Cell: 3.609 3.609 5.419 Å, 90.00 90.00 90.00°
Site moments in Bohr magnetons follow the coordinates.
Fractional positions:
Ni (0.000, 0.000, 0.000)  0.83
Te (0.000, 0.000, 0.500)  0.13
O (0.000, 0.500, 0.000)  0.48
O (0.500, 0.000, 0.000)  0.48
Be (0.500, 0.500, 0.500)  0.00

***

[9]
Compound: TiBeNi2O
Source: the Alexandria database
Functional: meta-GGA SCAN
Structure: single point on PBEsol structure

Total DFT energy (no corrections), eV for the cell shown: -57.04
Formation energy (no corrections), eV per formula unit: 1.93
Symmetry: P4/mmm, No. 123
D(E_F), states/eV/f.u.: 3.3

Cell: 3.608 3.608 4.567 Å, 90.00 90.00 90.00°
Site moments in Bohr magnetons follow the coordinates.
Fractional positions:
Ni (0.000, 0.500, 0.000)  0.03
Ni (0.500, 0.000, 0.000)  0.03
Be (0.000, 0.000, 0.000)  0.01
O (0.500, 0.500, 0.500)  0.32
Ti (0.000, 0.000, 0.500)  0.49

***

[10]
Compound: Be2NiOs
Source: the Alexandria database
Functional: meta-GGA SCAN
Structure: single point on PBEsol structure

Total DFT energy (no corrections), eV for the cell shown: -97.39
DFT formation energy, eV/atom: -0.156
Symmetry: P4mm, No. 99
D(E_F), states/eV/f.u.: 3.2

Cell: 2.689 2.689 5.482 Å, 90.00 90.00 90.00°
Fractional positions:
Ni (0.000, 0.000, 0.456)
Os (0.500, 0.500, 0.773)
Be (0.000, 0.000, 0.034)
Be (0.500, 0.500, 0.237)

***

[11]
Compound: BeNiOs3
Source: the Alexandria database
Functional: meta-GGA SCAN
Structure: single point on PBEsol structure

Total DFT energy (no corrections), eV for the cell shown: -231.48
DFT formation energy, eV/atom: 0.938
Symmetry: Pm-3m, No. 221
D(E_F), states/eV/f.u.: 3.5

Cell: 4.013 4.013 4.013 Å, 90.00 90.00 90.00°
Fractional positions:
Ni (0.500, 0.500, 0.500)
Os (0.000, 0.500, 0.000)
Os (0.000, 0.000, 0.500)
Os (0.500, 0.000, 0.000)
Be (0.000, 0.000, 0.000)

***

[12]
Compound: Be2NiOs
Source: the Alexandria database
Functional: meta-GGA SCAN
Structure: single point on PBEsol structure

Total DFT energy (no corrections), eV for the cell shown: -96.12
DFT formation energy, eV/atom: 0.160
Symmetry: Cmm2, No. 35
D(E_F), states/eV/f.u.: 2.4

Cell: 2.509 2.509 7.537 Å, 90.00 90.00 112.96°
Fractional positions:
Ni (0.000, 0.000, 0.525)
Os (0.500, 0.500, 0.240)
Be (0.000, 0.000, 0.988)
Be (0.500, 0.500, 0.747)